{"formula": "MnFeTc2", "functional": "GGA-PBE", "state": "optimized geometry", "polymorph_energy_mev_per_atom": 42.6, "dos_ef_per_ev_cell": 4.49, "ef_ev_per_atom": 0.0940, "magnetic_moment_mub_per_atom": 1.14, "lattice_angstrom": [[-0.0888, 1.7917, -2.3710], [-2.6105, -1.1806, -0.7944], [-2.8546, 4.1365, 3.2328]], "species": ["Tc", "Fe", "Mn", "Tc"], "frac_coords": [[0.5000, 0.5000, 0.2664], [0.0000, 0.0000, 0.5105], [0.5000, 0.5000, 0.7372], [0.0000, 0.0000, 0.9860]]}